{
  "formula": "BeZnBr3",
  "functional": "meta-GGA SCAN",
  "state": "single point on PBEsol structure",
  "lattice": [[4.762, 0.000, 0.000], [0.000, 4.762, 0.000], [0.000, 0.000, 4.762]],
  "species": ["Be", "Zn", "Br", "Br", "Br"],
  "fractional_positions": [[0.000, 0.000, 0.000], [0.500, 0.500, 0.500], [0.000, 0.000, 0.500], [0.000, 0.500, 0.000], [0.500, 0.000, 0.000]],
  "raw_formation_energy_mev_per_atom": -223,
  "sg": "No. 221"
}

{
  "formula": "Sc2SbAs",
  "functional": "meta-GGA SCAN",
  "state": "single point on PBEsol structure",
  "lattice": [[3.401, 0.000, 0.000], [0.000, 3.710, 0.000], [-1.548, 0.000, 6.673]],
  "species": ["Sc", "Sc", "Sb", "As"],
  "fractional_positions": [[0.227, 0.000, 0.267], [0.773, 0.000, 0.733], [0.500, 0.500, 0.000], [0.000, 0.500, 0.500]],
  "raw_formation_energy_mev_per_atom": -931,
  "sg": "No. 10"
}

{
  "formula": "CoBi2Rh",
  "functional": "meta-GGA SCAN",
  "state": "single point on PBEsol structure",
  "lattice": [[6.242, 0.000, 0.000], [0.000, 6.242, 0.000], [0.000, 0.000, 10.158]],
  "species": ["Co", "Co", "Co", "Co", "Bi", "Bi", "Bi", "Bi", "Bi", "Bi", "Bi", "Bi", "Rh", "Rh", "Rh", "Rh"],
  "fractional_positions": [[0.000, 0.000, 0.000], [0.000, 0.500, 0.250], [0.500, 0.000, 0.750], [0.500, 0.500, 0.500], [0.233, 0.750, 0.125], [0.250, 0.233, 0.875], [0.250, 0.267, 0.375], [0.267, 0.750, 0.625], [0.733, 0.250, 0.625], [0.750, 0.733, 0.375], [0.750, 0.767, 0.875], [0.767, 0.250, 0.125], [0.000, 0.000, 0.500], [0.000, 0.500, 0.750], [0.500, 0.000, 0.250], [0.500, 0.500, 0.000]],
  "ef_ev_per_atom": 0.573,
  "sg": "No. 122"
}

{
  "formula": "LaY2C6",
  "functional": "meta-GGA SCAN",
  "state": "single point on PBEsol structure",
  "lattice": [[3.686, -1.848, 0.000], [3.686, 1.848, 0.000], [-1.489, 0.000, 9.514]],
  "species": ["La", "Y", "Y", "C", "C", "C", "C", "C", "C"],
  "fractional_positions": [[0.000, 0.000, 0.000], [0.333, 0.333, 0.340], [0.667, 0.667, 0.660], [0.071, 0.071, 0.468], [0.264, 0.264, 0.850], [0.403, 0.403, 0.781], [0.597, 0.597, 0.219], [0.736, 0.736, 0.150], [0.929, 0.929, 0.532]],
  "ef_ev_per_atom": -0.328,
  "sg": "No. 12"
}

{
  "formula": "ZrBeSb",
  "functional": "meta-GGA SCAN",
  "state": "single point on PBEsol structure",
  "lattice": [[6.436, 0.000, 0.000], [0.000, 6.436, 0.000], [0.000, 0.000, 6.436]],
  "species": ["Zr", "Zr", "Zr", "Zr", "Be", "Be", "Be", "Be", "Sb", "Sb", "Sb", "Sb"],
  "fractional_positions": [[0.000, 0.000, 0.000], [0.000, 0.500, 0.500], [0.500, 0.000, 0.500], [0.500, 0.500, 0.000], [0.250, 0.250, 0.750], [0.250, 0.750, 0.250], [0.750, 0.250, 0.250], [0.750, 0.750, 0.750], [0.250, 0.250, 0.250], [0.250, 0.750, 0.750], [0.750, 0.250, 0.750], [0.750, 0.750, 0.250]],
  "raw_formation_energy_mev_per_atom": 375,
  "sg": "No. 216"
}

{
  "formula": "GaTeRuI2",
  "functional": "meta-GGA SCAN",
  "state": "single point on PBEsol structure",
  "lattice": [[5.524, 0.000, 0.000], [0.000, 5.524, 0.000], [0.000, 0.000, 4.927]],
  "species": ["Ga", "Te", "Ru", "I", "I"],
  "fractional_positions": [[0.000, 0.000, 0.000], [0.500, 0.500, 0.000], [0.500, 0.500, 0.500], [0.000, 0.500, 0.500], [0.500, 0.000, 0.500]],
  "raw_formation_energy_mev_per_atom": 298,
  "sg": "No. 123"
}

{
  "formula": "IrCSCl2",
  "functional": "meta-GGA SCAN",
  "state": "single point on PBEsol structure",
  "lattice": [[3.992, 0.000, 0.000], [0.000, 3.992, 0.000], [0.000, 0.000, 4.332]],
  "species": ["Ir", "C", "S", "Cl", "Cl"],
  "fractional_positions": [[0.000, 0.000, 0.000], [0.500, 0.500, 0.500], [0.500, 0.500, 0.000], [0.000, 0.500, 0.500], [0.500, 0.000, 0.500]],
  "relative_energy_mev_per_atom": 404,
  "raw_formation_energy_mev_per_atom": 1877,
  "sg": "No. 123"
}

{
  "formula": "TaMnTc",
  "functional": "meta-GGA SCAN",
  "state": "single point on PBEsol structure",
  "lattice": [[5.740, 0.000, 0.000], [0.000, 5.740, 0.000], [0.000, 0.000, 5.740]],
  "species": ["Ta", "Ta", "Ta", "Ta", "Mn", "Mn", "Mn", "Mn", "Tc", "Tc", "Tc", "Tc"],
  "fractional_positions": [[0.000, 0.000, 0.000], [0.000, 0.500, 0.500], [0.500, 0.000, 0.500], [0.500, 0.500, 0.000], [0.250, 0.250, 0.250], [0.250, 0.750, 0.750], [0.750, 0.250, 0.750], [0.750, 0.750, 0.250], [0.000, 0.000, 0.500], [0.000, 0.500, 0.000], [0.500, 0.000, 0.000], [0.500, 0.500, 0.500]],
  "ef_ev_per_atom": 0.379,
  "sg": "No. 216"
}

Calculated volume values, unit Å³ per cell, following the record order: 108, 84, 396, 130, 267, 150, 69, 189.
Total DFT energy (no corrections) values, unit eV/cell, following the record order: -77.36, -89.65, -823.77, -162.34, -284.75, -160.42, -97.40, -475.05.